InPtAuSe2S (PBE-GGA, relaxed); magnetization = 0.0 μB/f.u.; electronic total energy = -49.421 eV per cell
1.0
1.886 -6.430 0.000
1.886 6.430 0.000
0.000 0.000 10.734
In Pt Au Se S
2 2 2 4 2
direct
0.168 0.832 0.750 In
0.832 0.168 0.250 In
0.500 0.500 0.000 Pt
0.500 0.500 0.500 Pt
0.167 0.833 0.250 Au
0.833 0.167 0.750 Au
0.129 0.871 0.014 Se
0.129 0.871 0.486 Se
0.871 0.129 0.514 Se
0.871 0.129 0.986 Se
0.477 0.523 0.250 S
0.523 0.477 0.750 S